VASP calculation (PBE-GGA) on a geometry-optimized Hg2Sb structure.

Cell: 4.391 6.153 6.941 Å, 90.00 90.00 90.00°
Positions (direct):
Hg 0.000 0.797 0.381
Hg 0.500 0.703 0.881
Sb 0.500 0.500 0.500
Sb 0.000 0.000 0.000
Hg 0.500 0.297 0.119
Hg 0.000 0.203 0.619

## Properties
uncorrected energy = -1.46 eV per atom
space group = No. 58
formation energy without anion corrections = 0.33 eV per formula unit
density = 9.3 g cm⁻³
DOS at the Fermi energy = 0.425 states/eV/atom
crystal system = orthorhombic
polymorph energy (0 for the lowest one) = 14 meV/atom